CuP3Pd: PBEsol geometry, meta-GGA SCAN. Values from VASP.

**Space-group type**: No. 221
**Calculated total energy**: -74.3 eV/cell
**Size of the total moment**: 0.00 μB/atom
**Crystal system**: cubic

Cell and atoms, written as Quantum ESPRESSO input:
```
&SYSTEM
  ibrav = 0, nat = 5, ntyp = 3
/
ATOMIC_SPECIES
P 30.97 P.upf
Pd 106.42 Pd.upf
Cu 63.55 Cu.upf
CELL_PARAMETERS angstrom
-2.8211 3.2809 -0.6506
-3.0097 -2.8613 -1.3789
-1.4594 -0.4416 4.1014
ATOMIC_POSITIONS angstrom
P -1.4106 1.6405 -0.3253
P -1.5048 -1.4307 -0.6895
P -0.7297 -0.2208 2.0507
Pd -3.6451 -0.0110 1.0360
Cu 0.0000 0.0000 0.0000
```